No. 1
A geometry-optimized Ba2AcH12Rh3 structure, computed with PBE.

Results
* symmetry: No. 166
* raw total energy: -77.60 eV per cell
* crystal system: trigonal

Cell and atoms, written as POSCAR:
```
Ba2AcH12Rh3
1.0
3.493 2.017 5.119
-3.493 2.017 5.119
0.000 -4.033 5.119
Ba Ac H Rh
2 1 12 3
Cartesian
0.000 0.000 1.700 Ba
0.000 0.000 13.657 Ba
0.000 0.000 7.678 Ac
-1.984 -1.146 6.781 H
0.000 -1.484 5.279 H
-1.285 0.742 5.279 H
0.000 -2.291 8.575 H
-1.984 1.146 8.575 H
-1.285 -0.742 10.077 H
1.285 0.742 5.279 H
1.984 -1.146 6.781 H
0.000 2.291 6.781 H
1.285 -0.742 10.077 H
0.000 1.484 10.077 H
1.984 1.146 8.575 H
-1.747 -1.008 5.119 Rh
-1.746 1.008 10.237 Rh
0.000 2.017 5.119 Rh
```

***

No. 2
A geometry-optimized Ba2AcH6Ru structure, computed with PBE.

Results
* symmetry: No. 164
* raw total energy: -41.40 eV per cell
* crystal system: trigonal

Cell and atoms, written as POSCAR:
```
Ba2AcH6Ru
1.0
5.735 0.000 0.000
-2.868 4.967 0.000
0.000 0.000 6.541
Ba Ac H Ru
2 1 6 1
Cartesian
0.000 3.311 2.234 Ba
2.868 1.656 4.307 Ba
0.000 0.000 0.000 Ac
0.000 1.406 4.304 H
-1.650 4.264 4.304 H
1.218 0.703 2.237 H
1.650 4.264 4.304 H
4.518 0.703 2.237 H
2.868 3.561 2.237 H
0.000 0.000 3.270 Ru
```

***

No. 3
A geometry-optimized BaAcHSe2 structure, computed with PBE.

Results
* symmetry: No. 129
* raw total energy: -47.91 eV per cell
* crystal system: tetragonal

Cell and atoms, written as POSCAR:
```
BaAcHSe2
1.0
4.467 0.000 0.000
0.000 4.467 0.000
0.000 0.000 15.157
Ba Ac H Se
2 2 2 4
Cartesian
1.117 1.117 1.479 Ba
3.350 3.350 13.678 Ba
1.117 1.117 9.504 Ac
3.350 3.350 5.653 Ac
1.117 3.350 0.000 H
3.350 1.117 0.000 H
1.117 1.117 6.151 Se
1.117 1.117 12.342 Se
3.350 3.350 2.815 Se
3.350 3.350 9.006 Se
```

***

No. 4
A geometry-optimized BaAcHfO4 structure, computed with PBE.

Results
* formation energy without anion corrections: -3028 meV/atom
* symmetry: No. 63
* crystal system: orthorhombic

Cell and atoms, written as POSCAR:
```
BaAcHfO4
1.0
2.943 -6.729 0.000
2.943 6.729 0.000
0.000 0.000 5.890
Ba Ac Hf O
2 2 2 8
Cartesian
2.943 5.446 4.417 Ba
2.943 -5.446 1.472 Ba
2.943 1.316 4.417 Ac
2.943 -1.316 1.472 Ac
2.943 3.355 1.472 Hf
2.943 -3.355 4.417 Hf
1.471 3.364 0.000 O
1.471 3.364 2.945 O
2.943 5.415 1.472 O
2.943 1.165 1.472 O
1.471 -3.364 0.000 O
1.471 -3.364 2.945 O
2.943 -1.165 4.417 O
2.943 -5.415 4.417 O
```

***

No. 5
A geometry-optimized Ba3Ac3HfO8 structure, computed with PBE.

Results
* formation energy without anion corrections: -2766 meV/atom
* symmetry: No. 12
* crystal system: monoclinic

Cell and atoms, written as POSCAR:
```
Ba3Ac3HfO8
1.0
6.471 -3.741 0.000
6.471 3.741 0.000
-4.313 0.000 6.411
Ba Ac Hf O
3 3 1 8
Cartesian
0.000 0.000 0.000 Ba
3.235 1.870 0.000 Ba
3.235 -1.870 0.000 Ba
1.079 1.870 3.206 Ac
1.079 -1.870 3.206 Ac
4.314 0.000 3.206 Ac
-2.157 0.000 3.206 Hf
-0.354 0.000 4.355 O
3.413 2.179 4.356 O
5.215 2.179 2.055 O
2.160 0.000 1.817 O
6.468 0.000 4.594 O
3.413 -2.179 4.356 O
5.215 -2.179 2.055 O
8.982 0.000 2.056 O
```

***

No. 6
A geometry-optimized BaAc4Hg5 structure, computed with PBE.

Results
* ΔH_f (0 K): -0.4884 eV/atom
* symmetry: No. 123
* crystal system: tetragonal

Cell and atoms, written as POSCAR:
```
BaAc4Hg5
1.0
4.065 0.000 0.000
0.000 4.065 0.000
0.000 0.000 20.519
Ba Ac Hg
1 4 5
Cartesian
0.000 0.000 0.000 Ba
0.000 0.000 4.191 Ac
0.000 0.000 8.238 Ac
0.000 0.000 12.281 Ac
0.000 0.000 16.328 Ac
2.032 2.032 2.261 Hg
2.032 2.032 6.224 Hg
2.032 2.032 10.260 Hg
2.032 2.032 14.295 Hg
2.032 2.032 18.259 Hg
```

***

No. 7
A geometry-optimized BaAcHg structure, computed with PBE.

Results
* ΔH_f (0 K): -0.3243 eV/atom
* symmetry: No. 12
* crystal system: monoclinic

Cell and atoms, written as POSCAR:
```
BaAcHg
1.0
9.607 -2.071 0.000
9.607 2.071 0.000
-0.003 0.000 6.179
Ba Ac Hg
2 2 2
Cartesian
1.438 0.000 1.542 Ba
17.773 0.000 4.636 Ba
4.248 0.000 4.634 Ac
14.964 0.000 1.545 Ac
8.004 0.000 1.549 Hg
11.208 0.000 4.629 Hg
```

***

No. 8
A geometry-optimized BaAcHg structure, computed with PBE.

Results
* ΔH_f (0 K): -0.3026 eV/atom
* symmetry: No. 107
* crystal system: tetragonal

Cell and atoms, written as POSCAR:
```
BaAcHg
1.0
-2.074 2.074 7.297
2.074 -2.074 7.297
2.074 2.074 -7.297
Ba Ac Hg
1 1 1
Cartesian
0.000 0.000 0.000 Ba
0.000 0.000 3.968 Ac
0.000 0.000 9.531 Hg
```

***

No. 9
A geometry-optimized Ba3Ac12Hg5 structure, computed with PBE.

Results
* ΔH_f (0 K): 0.3037 eV/atom
* symmetry: No. 230
* crystal system: cubic

Cell and atoms, written as POSCAR:
```
Ba3Ac12Hg5
1.0
-10.105 10.105 10.105
10.105 -10.105 10.105
10.105 10.105 -10.105
Ba Ac Hg
12 48 20
Cartesian
5.052 2.526 0.000 Ba
10.105 5.052 -2.526 Ba
2.526 0.000 5.052 Ba
12.631 0.000 5.052 Ba
0.000 5.052 2.526 Ba
5.052 -2.526 10.105 Ba
5.052 12.631 0.000 Ba
10.105 5.052 7.579 Ba
-2.526 10.105 5.052 Ba
7.579 10.105 5.052 Ba
0.000 5.052 12.631 Ba
5.052 7.579 10.105 Ba
2.846 -0.671 1.277 Ac
12.311 6.329 -5.723 Ac
9.434 -1.277 2.846 Ac
15.828 -2.206 3.776 Ac
12.951 0.671 1.277 Ac
12.311 -3.776 5.723 Ac
1.277 2.846 -0.671 Ac
13.880 4.382 -2.206 Ac
6.329 5.723 -2.206 Ac
8.828 2.846 0.671 Ac
-0.671 1.277 2.846 Ac
5.723 -2.206 6.329 Ac
9.434 8.828 -2.846 Ac
5.723 2.206 3.776 Ac
8.828 -2.846 9.434 Ac
6.329 -5.723 12.311 Ac
3.776 5.723 2.206 Ac
11.381 7.259 0.671 Ac
2.846 9.434 -1.277 Ac
12.311 3.776 4.382 Ac
5.723 12.311 -3.776 Ac
9.434 1.277 7.259 Ac
2.206 3.776 5.723 Ac
2.846 0.671 8.828 Ac
7.259 9.434 1.277 Ac
7.898 6.329 4.382 Ac
0.671 8.828 2.846 Ac
4.382 -2.206 13.880 Ac
-2.206 6.329 5.723 Ac
7.259 0.671 11.381 Ac
-1.277 2.846 9.434 Ac
6.329 4.382 7.898 Ac
3.776 15.828 -2.206 Ac
1.277 12.951 0.671 Ac
4.382 7.898 6.329 Ac
0.671 1.277 12.951 Ac
4.382 12.311 3.776 Ac
10.775 8.828 7.259 Ac
1.277 7.259 9.434 Ac
3.776 4.382 12.311 Ac
-3.776 5.723 12.311 Ac
8.828 7.259 10.775 Ac
-2.206 13.880 4.382 Ac
-2.846 9.434 8.828 Ac
-5.723 12.311 6.329 Ac
0.671 11.381 7.259 Ac
-2.206 3.776 15.828 Ac
7.259 10.775 8.828 Ac
0.000 0.000 0.000 Hg
5.052 5.052 -5.052 Hg
5.052 -5.052 5.052 Hg
10.105 0.000 0.000 Hg
15.157 2.526 0.000 Hg
10.105 -5.052 7.579 Hg
7.579 10.105 -5.052 Hg
7.579 0.000 5.052 Hg
5.052 7.579 0.000 Hg
10.105 5.052 2.526 Hg
-5.052 5.052 5.052 Hg
0.000 10.105 0.000 Hg
0.000 0.000 10.105 Hg
5.052 5.052 5.052 Hg
0.000 5.052 7.579 Hg
5.052 2.526 10.105 Hg
2.526 10.105 5.052 Hg
2.526 0.000 15.157 Hg
0.000 15.157 2.526 Hg
-5.052 7.579 10.105 Hg
```

***

No. 10
A geometry-optimized BaAcHg structure, computed with PBE.

Results
* ΔH_f (0 K): -0.1245 eV/atom
* symmetry: No. 216
* crystal system: cubic

Cell and atoms, written as POSCAR:
```
BaAcHg
1.0
0.000 4.044 4.044
4.044 0.000 4.044
4.044 4.044 0.000
Ba Ac Hg
1 1 1
Cartesian
0.000 0.000 0.000 Ba
4.044 4.044 4.044 Ac
2.022 2.022 2.022 Hg
```

***

No. 11
A geometry-optimized Ba2AcHg3 structure, computed with PBE.

Results
* ΔH_f (0 K): -0.5108 eV/atom
* symmetry: No. 65
* crystal system: orthorhombic

Cell and atoms, written as POSCAR:
```
Ba2AcHg3
1.0
2.924 -8.784 0.000
2.924 8.784 0.000
0.000 0.000 8.341
Ba Ac Hg
4 2 6
Cartesian
0.000 0.000 0.000 Ba
0.000 0.000 4.171 Ba
2.924 2.914 0.000 Ba
2.924 -2.914 0.000 Ba
2.924 2.919 4.171 Ac
2.924 -2.919 4.171 Ac
2.924 5.789 2.226 Hg
2.924 5.789 6.115 Hg
2.924 0.000 2.175 Hg
2.924 0.000 6.166 Hg
2.924 -5.789 2.226 Hg
2.924 -5.789 6.115 Hg
```

***

No. 12
A geometry-optimized BaAc4Hg4 structure, computed with PBE.

Results
* ΔH_f (0 K): -0.2811 eV/atom
* symmetry: No. 86
* crystal system: tetragonal

Cell and atoms, written as POSCAR:
```
BaAc4Hg4
1.0
10.776 0.000 0.000
0.000 10.776 0.000
0.000 0.000 6.420
Ba Ac Hg
2 8 8
Cartesian
2.694 2.694 1.605 Ba
8.082 8.082 4.815 Ba
1.008 7.036 0.949 Ac
1.648 9.768 4.160 Ac
3.740 6.396 4.160 Ac
4.380 9.129 0.949 Ac
6.396 1.648 5.471 Ac
7.036 4.380 2.261 Ac
9.129 1.008 2.261 Ac
9.768 3.740 5.471 Ac
0.339 6.519 4.152 Hg
1.131 10.438 0.942 Hg
4.258 5.727 0.942 Hg
5.050 9.646 4.152 Hg
5.727 1.131 2.268 Hg
6.519 5.050 5.478 Hg
9.646 0.339 5.478 Hg
10.438 4.258 2.268 Hg
```

***

Ordered magnetization results: 0.0; 0.5; 0.0; 0.0; 0.0; 0.6; 0.0; 0.0; 0.0; 0.0; 0.0; 0.0; unit μB/f.u..